[1]
# Sc2Rh6Pb

A relaxed Sc2Rh6Pb crystal (PBE, Alexandria).

Values from the calculation:
The total energy comes out at -6.9565 eV/atom. For the total magnetization, the calculation gives 0.000 μB/atom. The density of states at the Fermi level is 1.06 states/eV/atom.

Unit cell a=6.288 b=6.288 c=4.560 alpha=111.26 beta=111.26 gamma=75.97
Atoms (fractional coordinates):
Sc (0.170, 0.170, 0.171)
Sc (0.830, 0.830, 0.829)
Rh (0.035, 0.634, 0.334)
Rh (0.282, 0.718, 0.000)
Rh (0.366, 0.965, 0.666)
Rh (0.634, 0.035, 0.334)
Rh (0.718, 0.282, 0.000)
Rh (0.965, 0.366, 0.666)
Pb (0.500, 0.500, 0.500)


[2]
# Sc6Rh2Pb

A relaxed Sc6Rh2Pb crystal (PBE, Alexandria).

Values from the calculation:
The total energy comes out at -6.8534 eV/atom. For the total magnetization, the calculation gives 0.000 μB/atom. The density of states at the Fermi level is 1.06 states/eV/atom.

Unit cell a=7.996 b=7.996 c=7.996 alpha=112.43 beta=111.07 gamma=105.01
Atoms (fractional coordinates):
Sc (0.025, 0.238, 0.787)
Sc (0.186, 0.290, 0.476)
Sc (0.186, 0.710, 0.896)
Sc (0.328, 0.027, 0.699)
Sc (0.328, 0.629, 0.301)
Sc (0.451, 0.238, 0.213)
Sc (0.549, 0.762, 0.787)
Sc (0.672, 0.371, 0.699)
Sc (0.672, 0.973, 0.301)
Sc (0.814, 0.290, 0.104)
Sc (0.814, 0.710, 0.524)
Sc (0.975, 0.762, 0.213)
Rh (0.138, 0.638, 0.500)
Rh (0.340, 0.000, 0.340)
Rh (0.660, 0.000, 0.660)
Rh (0.862, 0.362, 0.500)
Pb (0.000, 0.000, 0.000)
Pb (0.500, 0.500, 0.000)


[3]
# Sc2Rh2Pb

A relaxed Sc2Rh2Pb crystal (PBE, Alexandria).

Values from the calculation:
The total energy comes out at -6.6051 eV/atom. For the total magnetization, the calculation gives 0.000 μB/atom. The density of states at the Fermi level is 0.59 states/eV/atom.

Unit cell a=7.177 b=7.177 c=7.177 alpha=147.62 beta=147.62 gamma=46.44
Atoms (fractional coordinates):
Sc (0.124, 0.124, 0.000)
Sc (0.876, 0.876, 0.000)
Rh (0.250, 0.750, 0.500)
Rh (0.750, 0.250, 0.500)
Pb (0.500, 0.500, 0.000)


[4]
# ScRh2Pb2

A relaxed ScRh2Pb2 crystal (PBE, Alexandria).

Values from the calculation:
The calculation puts the energy above the most stable polymorph in this dataset at 0.88 eV/f.u. For the total magnetization, the calculation gives 0.096 μB/atom. The density of states at the Fermi level is 0.90 states/eV/atom.

Unit cell a=7.981 b=7.981 c=3.188 alpha=90.00 beta=90.00 gamma=90.00
Atoms (fractional coordinates):
Sc (0.000, 0.000, 0.000)
Sc (0.500, 0.500, 0.000)
Rh (0.149, 0.351, 0.500)
Rh (0.351, 0.851, 0.500)
Rh (0.649, 0.149, 0.500)
Rh (0.851, 0.649, 0.500)
Pb (0.148, 0.648, 0.000)
Pb (0.352, 0.148, 0.000)
Pb (0.648, 0.852, 0.000)
Pb (0.852, 0.352, 0.000)


[5]
# Sc2Rh4Pb

A relaxed Sc2Rh4Pb crystal (PBE, Alexandria).

Values from the calculation:
The total energy comes out at -6.9349 eV/atom. For the total magnetization, the calculation gives 0.000 μB/atom. The density of states at the Fermi level is 0.53 states/eV/atom.

Unit cell a=7.752 b=7.752 c=7.752 alpha=33.56 beta=33.56 gamma=33.56
Atoms (fractional coordinates):
Sc (0.244, 0.244, 0.244)
Sc (0.756, 0.756, 0.756)
Rh (0.128, 0.128, 0.128)
Rh (0.380, 0.380, 0.380)
Rh (0.620, 0.620, 0.620)
Rh (0.872, 0.872, 0.872)
Pb (0.000, 0.000, 0.000)


[6]
# ScRh2PbSe

A relaxed ScRh2PbSe crystal (PBE, Alexandria).

Values from the calculation:
The calculation puts the formation energy (no corrections) at -0.10 eV per atom. For the total magnetization, the calculation gives 0.000 μB/atom. The density of states at the Fermi level is 1.16 states/eV/atom.

Unit cell a=4.687 b=4.687 c=4.911 alpha=90.00 beta=90.00 gamma=90.00
Atoms (fractional coordinates):
Sc (0.000, 0.000, 0.000)
Rh (0.000, 0.500, 0.500)
Rh (0.500, 0.000, 0.500)
Pb (0.500, 0.500, 0.000)
Se (0.000, 0.000, 0.500)